[1]
ReSb2TePd, optimized geometry, DFT PBE-GGA; formation energy (no corrections) = 0.867 eV/atom; crystal system = tetragonal; calculated total energy = -24.7 eV for the cell shown; D(E_F) = 1.190 states/eV/atom
1.0
5.134 0.000 0.000
0.000 5.134 0.000
0.000 0.000 5.234
Re Sb Te Pd
1 2 1 1
Direct
0.000 0.000 0.000
0.000 0.500 0.000
0.500 0.000 0.000
0.000 0.000 0.500
0.500 0.500 0.500



[2]
V2AsP2, optimized geometry, DFT PBE-GGA; formation enthalpy at 0 K = -0.390 eV per atom; crystal system = tetragonal; calculated total energy = -71.3 eV for the cell shown; D(E_F) = 0.858 states/eV/atom
1.0
6.811 0.000 0.000
0.000 6.811 0.000
0.000 0.000 3.034
V As P
4 2 4
Direct
0.150 0.350 0.000
0.350 0.850 0.000
0.650 0.150 0.000
0.850 0.650 0.000
0.000 0.000 0.000
0.500 0.500 0.000
0.135 0.635 0.500
0.365 0.135 0.500
0.635 0.865 0.500
0.865 0.365 0.500